A plane-wave DFT calculation with PBE was carried out for SrIn3GaIr after structural relaxation.

Summary:
- offset from the most stable computed form (eV per formula unit) = 0.00
- calculated volume (Å³ per cell) = 280.7

Cell lengths 8.3239, 4.4283, 7.6158 Å; angles 90.00, 90.00, 90.00 degrees
Closest atoms and distances in Å follow each position.
Atoms (fractional coordinates):
Ga 0.0000 0.0000 0.5000  2 Ir 2.46
Ga 0.5000 0.0000 0.5000  2 Ir 2.46
In 0.0628 0.5000 0.1963  2 Ir 2.89, 4 In 3.12-3.22
In 0.4372 0.5000 0.1963  2 Ir 2.89, 4 In 3.12-3.22
In 0.7500 0.5000 0.4341  2 Ir 2.86, 4 Ga 3.08, 2 In 3.17
In 0.2500 0.5000 0.5659  2 Ir 2.86, 4 Ga 3.08, 2 In 3.17
In 0.5628 0.5000 0.8037  2 Ir 2.89, 4 In 3.12-3.22
In 0.9372 0.5000 0.8037  2 Ir 2.89, 4 In 3.12-3.22
Ir 0.2500 0.0000 0.3273  2 Ga 2.46
Ir 0.7500 0.0000 0.6727  2 Ga 2.46
Sr 0.7500 0.0000 0.1072  1 Ir 3.31, 10 In 3.33-3.56, 2 Ga 3.64
Sr 0.2500 0.0000 0.8928  1 Ir 3.31, 10 In 3.33-3.56, 2 Ga 3.64

***

A plane-wave DFT calculation with PBE was carried out for LiCu2 after structural relaxation.

Summary:
- final energy (eV/atom) = -3.1439
- calculated volume (Å³ per cell) = 69.9

Cell lengths 4.3891, 4.3891, 4.4567 Å; angles 100.08, 100.08, 119.69 degrees
Closest atoms and distances in Å follow each position.
Atoms (fractional coordinates):
Cu 0.1780 0.8220 0.0000  6 Li 2.52-2.55, 6 Cu 2.53-2.57
Cu 0.6727 0.3273 0.5000  8 Cu 2.53-2.55, 4 Li 2.55-2.58
Cu 0.3364 0.6636 0.5000  8 Cu 2.49-2.56, 4 Li 2.53-2.59
Cu 0.0082 0.9918 0.5000  8 Cu 2.49-2.57, 4 Li 2.53-2.55
Li 0.8439 0.1561 0.0000  9 Cu 2.53-2.58, 3 Li 2.53-2.54
Li 0.5099 0.4901 0.0000  9 Cu 2.52-2.59, 3 Li 2.53-2.54